[1]
Compound: Y2CrSb
Source: the Alexandria database
Functional: PBE-GGA
Structure: optimized geometry

Cell: 8.0919 8.0919 6.6149 Å, 52.29 52.29 90.00°
With the nearest neighbours (Å) after each atom.
Atoms (fractional coordinates):
Y  0.6124  0.1250  0.2500  2 Cr 2.91, 2 Sb 3.05
Y  0.1376  0.6250  0.2500  2 Cr 2.91, 2 Sb 3.05
Y  0.3750  0.3876  0.7500  2 Cr 2.91, 2 Sb 3.05
Y  0.8750  0.8624  0.7500  2 Cr 2.91, 2 Sb 3.05
Sb  0.0000  0.0000  0.0000  4 Y 3.05, 2 Cr 3.32
Sb  0.7500  0.2500  0.5000  4 Y 3.05, 2 Cr 3.32
Cr  0.5000  0.5000  0.0000  4 Y 2.91
Cr  0.2500  0.7500  0.5000  4 Y 2.91

- formation energy (no corrections) (eV per atom) = 0.103
- magnetization (μB per formula unit) = 3.8

=====

[2]
Compound: MnCuRu2
Source: the Alexandria database
Functional: PBE-GGA
Structure: optimized geometry

Cell: 2.6311 2.6311 8.6094 Å, 90.00 90.00 114.67°
With the nearest neighbours (Å) after each atom.
Atoms (fractional coordinates):
Cu  0.5000  0.5000  0.2500  6 Cu 2.63-2.84, 4 Ru 2.64
Mn  0.5000  0.5000  0.7500  4 Ru 2.52, 4 Mn 2.63
Ru  0.0000  0.0000  0.9913  2 Mn 2.52, 4 Ru 2.63, 2 Cu 2.64
Ru  0.0000  0.0000  0.5087  2 Mn 2.52, 4 Ru 2.63, 2 Cu 2.64

- magnetization (μB per formula unit) = 2.6
- energy of formation from the pure elements (eV/f.u.) = 1.176

=====

[3]
Compound: MnAs2Pt
Source: the Alexandria database
Functional: PBE-GGA
Structure: optimized geometry

Cell: 2.9839 3.3869 6.3036 Å, 90.00 90.00 90.00°
With the nearest neighbours (Å) after each atom.
Atoms (fractional coordinates):
As  0.0000  0.0000  0.0159  4 Mn 2.70, 4 Pt 2.81, 3 As 2.95-2.98
As  0.0000  0.0000  0.4841  4 Mn 2.70, 4 Pt 2.81, 3 As 2.95-2.98
Mn  0.5000  0.5000  0.2500  8 As 2.70, 2 Mn 2.98
Pt  0.5000  0.5000  0.7500  8 As 2.81, 2 Pt 2.98

- magnetization (μB per formula unit) = 3.2
- energy above the lowest structure with this stoichiometry (meV per atom) = 181.2
- energy of formation from the pure elements (eV/f.u.) = 0.144

=====

[4]
Compound: CsPaTl2O6
Source: the Alexandria database
Functional: PBE-GGA
Structure: optimized geometry

Cell: 6.8430 7.6029 7.6029 Å, 99.90 90.34 90.34°
With the nearest neighbours (Å) after each atom.
Atoms (fractional coordinates):
Cs  0.2500  0.9126  0.0874  8 O 3.13-3.35
Cs  0.7500  0.0874  0.9126  8 O 3.13-3.35
Pa  0.2500  0.3000  0.7000  6 O 2.14-2.25
Pa  0.7500  0.7000  0.3000  6 O 2.14-2.25
Tl  0.3350  0.7580  0.5609  4 O 2.12-2.34
Tl  0.1650  0.4391  0.2420  4 O 2.12-2.34
Tl  0.6650  0.2420  0.4391  4 O 2.12-2.34
Tl  0.8350  0.5609  0.7580  4 O 2.12-2.34
O  0.3205  0.0256  0.6969  1 Tl 2.12, 1 Pa 2.14
O  0.1795  0.3031  0.9744  1 Tl 2.12, 1 Pa 2.14
O  0.6795  0.9744  0.3031  1 Tl 2.12, 1 Pa 2.14
O  0.8205  0.6969  0.0256  1 Tl 2.12, 1 Pa 2.14
O  0.4399  0.6269  0.2855  1 Pa 2.19, 2 Tl 2.28-2.34
O  0.0601  0.7145  0.3731  1 Pa 2.19, 2 Tl 2.28-2.34
O  0.5601  0.3731  0.7145  1 Pa 2.19, 2 Tl 2.28-2.34
O  0.9399  0.2855  0.6269  1 Pa 2.19, 2 Tl 2.28-2.34
O  0.1890  0.5940  0.7342  2 Tl 2.20-2.44, 1 Pa 2.25
O  0.3110  0.2658  0.4060  2 Tl 2.20-2.44, 1 Pa 2.25
O  0.8110  0.4060  0.2658  2 Tl 2.20-2.44, 1 Pa 2.25
O  0.6890  0.7342  0.5940  2 Tl 2.20-2.44, 1 Pa 2.25

- formation energy (no corrections) (eV per atom) = -1.774
- magnetization (μB per formula unit) = 0.0

=====

[5]
Compound: NdHo2CdAu4
Source: the Alexandria database
Functional: PBE-GGA
Structure: optimized geometry

Cell: 5.0287 5.0287 8.8605 Å, 73.51 73.51 60.00°
With the nearest neighbours (Å) after each atom.
Atoms (fractional coordinates):
Nd  0.0000  0.0000  0.0000  8 Au 3.04-3.10
Ho  0.7589  0.7589  0.7233  7 Au 2.99-3.15
Ho  0.2411  0.2411  0.2767  7 Au 2.99-3.15
Cd  0.5000  0.5000  0.5000  8 Au 3.09-3.12, 6 Ho 3.45
Au  0.3772  0.3772  0.8685  1 Cd 3.09, 3 Nd 3.10, 4 Ho 3.15-3.42
Au  0.8789  0.8789  0.3634  4 Ho 2.99-3.01, 1 Nd 3.04, 3 Cd 3.12
Au  0.1211  0.1211  0.6366  4 Ho 2.99-3.01, 1 Nd 3.04, 3 Cd 3.12
Au  0.6228  0.6228  0.1315  1 Cd 3.09, 3 Nd 3.10, 4 Ho 3.15-3.42

- magnetization (μB per formula unit) = 0.0
- energy of formation from the pure elements (eV/f.u.) = -5.840

=====

[6]
Compound: Rb2ThAs2S6
Source: the Alexandria database
Functional: PBE-GGA
Structure: optimized geometry

Cell: 7.2486 6.8725 8.6469 Å, 109.79 90.00 121.83°
With the nearest neighbours (Å) after each atom.
Atoms (fractional coordinates):
Rb  0.6968  0.3936  0.1506  7 S 3.36-3.62
Rb  0.3032  0.6064  0.8494  7 S 3.36-3.62
Th  0.5000  0.0000  0.5000  6 S 2.73-2.83
As  0.9274  0.8548  0.7946  3 S 2.25-2.29
As  0.0726  0.1452  0.2054  3 S 2.25-2.29
S  0.7480  0.4960  0.5620  1 As 2.25
S  0.2078  0.9211  0.2344  1 As 2.29
S  0.2867  0.0789  0.7656  1 As 2.29
S  0.7922  0.0789  0.7656  1 As 2.29
S  0.7133  0.9211  0.2344  1 As 2.29
S  0.2520  0.5040  0.4380  1 As 2.25

- formation energy (no corrections) (eV per atom) = -0.935
- magnetization (μB per formula unit) = 0.0

=====

[7]
Compound: Tb7Sm12Er
Source: the Alexandria database
Functional: PBE-GGA
Structure: optimized geometry

Cell: 8.7939 8.7939 8.7939 Å, 94.39 94.39 94.39°
With the nearest neighbours (Å) after each atom.
Atoms (fractional coordinates):
Tb  0.9144  0.6493  0.9779  1 Er 3.11, 2 Sm 3.11-3.36, 1 Tb 3.16
Tb  0.3507  0.0221  0.0856  1 Er 3.11, 2 Sm 3.11-3.36, 1 Tb 3.16
Tb  0.0221  0.0856  0.3507  1 Er 3.11, 2 Sm 3.11-3.36, 1 Tb 3.16
Tb  0.5000  0.5000  0.5000  6 Sm 3.12
Tb  0.9779  0.9144  0.6493  1 Er 3.11, 2 Sm 3.11-3.36, 1 Tb 3.16
Tb  0.6493  0.9779  0.9144  1 Er 3.11, 2 Sm 3.11-3.36, 1 Tb 3.16
Tb  0.0856  0.3507  0.0221  1 Er 3.11, 2 Sm 3.11-3.36, 1 Tb 3.16
Sm  0.8187  0.2495  0.6862  3 Tb 3.36-3.64, 3 Sm 3.40-3.68
Sm  0.7505  0.3138  0.1813  3 Tb 3.36-3.64, 3 Sm 3.40-3.68
Sm  0.4804  0.1478  0.4145  2 Tb 3.11-3.12, 2 Sm 3.13-3.40
Sm  0.8522  0.5855  0.5196  2 Tb 3.11-3.12, 2 Sm 3.13-3.40
Sm  0.3138  0.1813  0.7505  3 Tb 3.36-3.64, 3 Sm 3.40-3.68
Sm  0.5855  0.5196  0.8522  2 Tb 3.11-3.12, 2 Sm 3.13-3.40
Sm  0.4145  0.4804  0.1478  2 Tb 3.11-3.12, 2 Sm 3.13-3.40
Sm  0.6862  0.8187  0.2495  3 Tb 3.36-3.64, 3 Sm 3.40-3.68
Sm  0.1478  0.4145  0.4804  2 Tb 3.11-3.12, 2 Sm 3.13-3.40
Sm  0.5196  0.8522  0.5855  2 Tb 3.11-3.12, 2 Sm 3.13-3.40
Sm  0.2495  0.6862  0.8187  3 Tb 3.36-3.64, 3 Sm 3.40-3.68
Sm  0.1813  0.7505  0.3138  3 Tb 3.36-3.64, 3 Sm 3.40-3.68
Er  0.0000  0.0000  0.0000  6 Tb 3.11

- magnetization (μB per formula unit) = 0.0
- energy above the lowest structure with this stoichiometry (meV per atom) = 27.2
- energy of formation from the pure elements (eV/f.u.) = 5.476

=====

[8]
Compound: LiTlCl
Source: the Alexandria database
Functional: PBE-GGA
Structure: optimized geometry

Cell: 5.0869 5.0869 5.0869 Å, 60.00 60.00 60.00°
With the nearest neighbours (Å) after each atom.
Atoms (fractional coordinates):
Cl  0.7500  0.7500  0.7500  4 Li 3.12, 4 Tl 3.12
Li  0.0000  0.0000  0.0000  4 Cl 3.12
Tl  0.5000  0.5000  0.5000  4 Cl 3.12

- formation energy (no corrections) (eV per atom) = -0.440
- magnetization (μB per formula unit) = 0.6

=====

[9]
Compound: Rb2NiWI6
Source: the Alexandria database
Functional: PBE-GGA
Structure: optimized geometry

Cell: 8.0376 8.0376 8.0207 Å, 59.93 59.93 90.00°
With the nearest neighbours (Å) after each atom.
Atoms (fractional coordinates):
I  0.2503  0.2503  0.4993  1 Ni 2.83, 1 W 2.83
I  0.7497  0.7497  0.5007  1 Ni 2.83, 1 W 2.83
I  0.2493  0.2493  0.0000  1 W 2.83, 1 Ni 2.85
I  0.7507  0.7507  0.0000  1 W 2.83, 1 Ni 2.85
I  0.7507  0.2493  0.0000  1 W 2.83, 1 Ni 2.85
I  0.2493  0.7507  0.0000  1 W 2.83, 1 Ni 2.85
Ni  0.5000  0.5000  0.0000  6 I 2.83-2.85
Rb  0.7500  0.2500  0.5000  12 I 4.01-4.02
Rb  0.2500  0.7500  0.5000  12 I 4.01-4.02
W  0.0000  0.0000  0.0000  6 I 2.83

- formation energy (no corrections) (eV per atom) = -0.393
- magnetization (μB per formula unit) = 3.9

=====

[10]
Compound: Sc2SbP
Source: the Alexandria database
Functional: PBE-GGA
Structure: optimized geometry

Cell: 3.3810 3.3810 7.5796 Å, 90.00 90.00 106.07°
With the nearest neighbours (Å) after each atom.
Atoms (fractional coordinates):
Sc  0.0000  0.0000  0.2829  2 P 2.62
Sc  0.0000  0.0000  0.7171  2 P 2.62
Sb  0.5000  0.5000  0.0000  4 Sc 2.96
P  0.5000  0.5000  0.5000  4 Sc 2.62

- formation energy (no corrections) (eV per atom) = -0.889
- magnetization (μB per formula unit) = 0.0

=====

[11]
Compound: TaReSi2
Source: the Alexandria database
Functional: PBE-GGA
Structure: optimized geometry

Cell: 4.3429 4.3429 4.3429 Å, 60.00 60.00 60.00°
With the nearest neighbours (Å) after each atom.
Atoms (fractional coordinates):
Re  0.5000  0.5000  0.5000  8 Si 2.66
Si  0.2500  0.2500  0.2500  4 Ta 2.66, 4 Re 2.66
Si  0.7500  0.7500  0.7500  4 Ta 2.66, 4 Re 2.66
Ta  0.0000  0.0000  0.0000  8 Si 2.66

- formation energy (no corrections) (eV per atom) = -0.066
- magnetization (μB per formula unit) = 0.0

=====

[12]
Compound: SiRu2Br
Source: the Alexandria database
Functional: PBE-GGA
Structure: optimized geometry

Cell: 3.0005 3.0005 6.6948 Å, 90.00 90.00 90.06°
With the nearest neighbours (Å) after each atom.
Atoms (fractional coordinates):
Br  0.5000  0.5000  0.7500  8 Ru 2.90, 4 Br 3.00
Ru  0.0000  0.0000  0.0450  4 Si 2.53, 1 Ru 2.75
Ru  0.0000  0.0000  0.4550  4 Si 2.53, 1 Ru 2.75
Si  0.5000  0.5000  0.2500  8 Ru 2.53

- formation energy (no corrections) (eV per atom) = 0.158
- magnetization (μB per formula unit) = 0.0
- energy above the lowest structure with this stoichiometry (meV per atom) = 93.0

=====

[13]
Compound: SrAlRu
Source: the Alexandria database
Functional: PBE-GGA
Structure: optimized geometry

Cell: 4.2707 4.2707 4.5910 Å, 90.00 90.00 120.00°
With the nearest neighbours (Å) after each atom.
Atoms (fractional coordinates):
Ru  0.6667  0.3333  0.1668  3 Al 2.47
Al  0.0000  0.0000  0.1666  3 Ru 2.47
Sr  0.3333  0.6667  0.6666  6 Ru 3.37, 6 Al 3.37

- magnetization (μB per formula unit) = 0.1
- energy of formation from the pure elements (eV/f.u.) = -0.141

=====

[14]
Compound: TlRh2Br
Source: the Alexandria database
Functional: PBE-GGA
Structure: optimized geometry

Cell: 4.7710 4.7710 4.7710 Å, 60.00 60.00 60.00°
With the nearest neighbours (Å) after each atom.
Atoms (fractional coordinates):
Tl  0.7500  0.7500  0.7500  4 Br 2.92, 4 Rh 2.92
Rh  0.0000  0.0000  0.0000  4 Tl 2.92, 4 Rh 2.92
Rh  0.2500  0.2500  0.2500  4 Br 2.92, 4 Rh 2.92
Br  0.5000  0.5000  0.5000  4 Rh 2.92, 4 Tl 2.92

- formation energy (no corrections) (eV per atom) = 0.641
- magnetization (μB per formula unit) = 1.4
- energy above the lowest structure with this stoichiometry (meV per atom) = 403.4

=====

[15]
Compound: HgPdN3
Source: the Alexandria database
Functional: PBE-GGA
Structure: optimized geometry

Cell: 4.0507 4.0507 4.0507 Å, 90.00 90.00 90.00°
With the nearest neighbours (Å) after each atom.
Atoms (fractional coordinates):
Hg  0.5000  0.5000  0.5000  12 N 2.86
Pd  0.0000  0.0000  0.0000  6 N 2.03
N  0.0000  0.5000  0.0000  2 Pd 2.03
N  0.0000  0.0000  0.5000  2 Pd 2.03
N  0.5000  0.0000  0.0000  2 Pd 2.03

- formation energy (no corrections) (eV per atom) = 2.025
- magnetization (μB per formula unit) = 3.7

=====

[16]
Compound: V3B4W3
Source: the Alexandria database
Functional: PBE-GGA
Structure: optimized geometry

Cell: 3.1224 5.8645 5.8645 Å, 90.36 90.00 90.00°
With the nearest neighbours (Å) after each atom.
Atoms (fractional coordinates):
V  0.0000  0.4956  0.9977  4 B 2.32-2.42
V  0.0000  0.0023  0.5044  4 B 2.32-2.42
V  0.5000  0.1767  0.8233  6 B 2.31
B  0.0000  0.6139  0.3861  1 B 1.93
B  0.0000  0.3821  0.6179  1 B 1.93
B  0.0000  0.8928  0.8854  1 B 1.83
B  0.0000  0.1146  0.1072  1 B 1.83
W  0.5000  0.8235  0.1765  6 B 2.34-2.35
W  0.5000  0.3203  0.3218  6 B 2.34-2.36
W  0.5000  0.6782  0.6797  6 B 2.34-2.36

- magnetization (μB per formula unit) = 0.0
- energy of formation from the pure elements (eV/f.u.) = -5.907

=====

[17]
Compound: PmPaAu
Source: the Alexandria database
Functional: PBE-GGA
Structure: optimized geometry

Cell: 3.9027 3.9027 11.2392 Å, 100.00 100.00 90.00°
With the nearest neighbours (Å) after each atom.
Atoms (fractional coordinates):
Pa  0.2752  0.2752  0.5505  4 Pa 2.97
Pa  0.7248  0.7248  0.4495  4 Pa 2.97
Pm  0.1128  0.1128  0.2256  4 Au 2.98
Pm  0.8872  0.8872  0.7744  4 Au 2.98
Au  0.5615  0.5615  0.1230  1 Au 2.68, 4 Pm 2.98
Au  0.4385  0.4385  0.8770  1 Au 2.68, 4 Pm 2.98

- magnetization (μB per formula unit) = 0.0
- energy above the lowest structure with this stoichiometry (meV per atom) = 0.0
- energy of formation from the pure elements (eV/f.u.) = -0.532

=====

[18]
Compound: LiNd3Pu3Se8
Source: the Alexandria database
Functional: PBE-GGA
Structure: optimized geometry

Cell: 8.3234 8.3232 8.3293 Å, 119.98 90.00 120.00°
With the nearest neighbours (Å) after each atom.
Atoms (fractional coordinates):
Li  0.0000  0.0000  0.5000  6 Se 2.88-2.89
Nd  0.0000  0.0000  0.0000  6 Se 2.97
Nd  0.0000  0.5000  0.0000  6 Se 2.97
Nd  0.5000  0.5000  0.0000  6 Se 2.97
Pu  0.5000  0.0000  0.5000  6 Se 2.91-2.92
Pu  0.5000  0.5000  0.5000  6 Se 2.91-2.92
Pu  0.0000  0.5000  0.5000  6 Se 2.91-2.92
Se  0.2525  0.5051  0.2576  3 Pu 2.91, 3 Nd 2.97
Se  0.7475  0.4949  0.7424  3 Pu 2.91, 3 Nd 2.97
Se  0.7544  0.5087  0.2588  1 Li 2.89, 2 Pu 2.92, 2 Nd 2.97
Se  0.2456  0.4913  0.7412  1 Li 2.89, 2 Pu 2.92, 2 Nd 2.97
Se  0.7551  0.0045  0.2595  1 Li 2.88, 2 Pu 2.92, 2 Nd 2.97
Se  0.2449  0.9955  0.7405  1 Li 2.88, 2 Pu 2.92, 2 Nd 2.97
Se  0.2495  0.0044  0.2593  1 Li 2.89, 2 Pu 2.92, 2 Nd 2.97
Se  0.7505  0.9956  0.7407  1 Li 2.89, 2 Pu 2.92, 2 Nd 2.97

- formation energy (no corrections) (eV per atom) = -1.631
- magnetization (μB per formula unit) = 16.9

=====

[19]
Compound: LiAgCl
Source: the Alexandria database
Functional: PBE-GGA
Structure: optimized geometry

Cell: 4.6054 4.6054 4.6054 Å, 60.00 60.00 60.00°
With the nearest neighbours (Å) after each atom.
Atoms (fractional coordinates):
Ag  0.5000  0.5000  0.5000  4 Cl 2.82
Cl  0.7500  0.7500  0.7500  4 Ag 2.82, 4 Li 2.82
Li  0.0000  0.0000  0.0000  4 Cl 2.82

- formation energy (no corrections) (eV per atom) = -0.370
- magnetization (μB per formula unit) = 0.0
- energy above the lowest structure with this stoichiometry (meV per atom) = 604.3

=====

[20]
Compound: Li2CdRe
Source: the Alexandria database
Functional: PBE-GGA
Structure: optimized geometry

Cell: 4.9013 4.9013 4.9013 Å, 132.35 132.35 69.67°
With the nearest neighbours (Å) after each atom.
Atoms (fractional coordinates):
Cd  0.2500  0.7500  0.5000  8 Li 2.80-2.82, 4 Re 2.82
Li  0.0000  0.0000  0.0000  4 Re 2.80, 4 Li 2.82, 4 Cd 2.82
Li  0.7500  0.2500  0.5000  4 Cd 2.80, 4 Re 2.82, 4 Li 2.82
Re  0.5000  0.5000  0.0000  8 Li 2.80-2.82, 4 Cd 2.82

- magnetization (μB per formula unit) = 1.3
- energy of formation from the pure elements (eV/f.u.) = 2.645